First-principles (GGA-PBE) data for a geometry-optimized Ac2InGaGe structure, as listed in the Alexandria database.

abc: 7.6285 4.6021 9.5836
angles: 90.00 105.51 90.00
Space group P2_1/m (No. 11)
One atom of each set of equivalent atoms:
Ac 0.2038 0.2500 0.4114 [2 per cell]
Ac 0.2541 0.2500 0.9738 [2 per cell]
In 0.3114 0.7500 0.6979 [2 per cell]
Ga 0.4780 0.7500 0.2676 [2 per cell]
Ge 0.1494 0.7500 0.1716 [2 per cell]

E_form: -497 meV/atom


First-principles (GGA-PBE) data for a geometry-optimized Ac2GaGe6Ir structure, as listed in the Alexandria database.

abc: 6.1104 8.6039 8.8673
angles: 90.00 90.00 90.00
Space group Pmmn (No. 59, origin choice 2)
One atom of each set of equivalent atoms:
Ac 0.2500 0.0051 0.2252 [4 per cell]
Ga 0.2500 0.2500 0.8464 [2 per cell]
Ge 0.0083 0.7500 0.4755 [4 per cell]
Ge 0.0515 0.7500 0.9644 [4 per cell]
Ge 0.2500 0.0360 0.6409 [4 per cell]
Ir 0.2500 0.7500 0.7070 [2 per cell]

E_form: -355 meV/atom


First-principles (GGA-PBE) data for a geometry-optimized Ac2GaGe4Ir3 structure, as listed in the Alexandria database.

abc: 4.4522 4.4522 10.2590
angles: 90.00 90.00 90.00
Space group P-4m2 (No. 115)
One atom of each set of equivalent atoms:
Ac 0.0000 0.5000 0.2465 [2 per cell]
Ga 0.0000 0.0000 0.5000 [1 per cell]
Ge 0.0000 0.0000 0.0000 [1 per cell]
Ge 0.0000 0.5000 0.6375 [2 per cell]
Ge 0.5000 0.5000 0.0000 [1 per cell]
Ir 0.0000 0.5000 0.8805 [2 per cell]
Ir 0.5000 0.5000 0.5000 [1 per cell]

E_form: -655 meV/atom


| no. | mass density (g/cm3) |
| --- | --- |
| 1 | 7.29 |
| 2 | 8.21 |
| 3 | 11.36 |